Record 1
Material: ScAsPb2
Method: DFT, PBE
State: optimized geometry

The energy relative to the elements comes out at -91 meV/atom. The value obtained for the spin magnetization is 0.00 μB per cell.

The structure belongs to space group P4/mmm (No. 123); the cell edges are 4.085, 4.085 and 6.054 Å and the angles 90.00°, 90.00° and 90.00°. Symmetry generates all atoms from Sc at (0.000, 0.000, 0.000), As at (0.000, 0.000, 0.500) and Pb at (0.500, 0.500, 0.250).

Record 2
Material: Tb6Nd8Dy
Method: DFT, PBE
State: optimized geometry

The energy relative to the elements comes out at 120 meV/atom. The value obtained for the spin magnetization is 0.00 μB per cell.

The structure belongs to space group R-3 (No. 148, hexagonal axes); the cell edges are 9.1830, 9.1830 and 20.9653 Å and the angles 90.00°, 90.00° and 120.00°. Symmetry generates all atoms from Tb at (0.0486, 0.2454, 0.2059), Nd at (0.0000, 0.0000, 0.0779), Nd at (0.0808, 0.5569, 0.3066) and Dy at (0.0000, 0.0000, 0.5000).

Record 3
Material: NaMgAgPd
Method: DFT, PBE
State: optimized geometry

The energy relative to the elements comes out at -193 meV/atom. The value obtained for the spin magnetization is 0.00 μB per cell.

The structure belongs to space group F-43m (No. 216); the cell edges are 6.657, 6.657 and 6.657 Å and the angles 90.00°, 90.00° and 90.00°. Symmetry generates all atoms from Na at (0.000, 0.000, 0.000), Mg at (0.000, 0.000, 0.500), Ag at (0.250, 0.250, 0.250) and Pd at (0.250, 0.250, 0.750).

Record 4
Material: Tl2Sb2Te
Method: DFT, PBE
State: optimized geometry

The value obtained for the spin magnetization is 0.00 μB per cell. As for the formation energy (no corrections): 0.212 eV/atom.

The structure belongs to space group I4/mmm (No. 139); the cell edges are 4.557, 4.557 and 15.208 Å and the angles 90.00°, 90.00° and 90.00°. Symmetry generates all atoms from Tl at (0.000, 0.500, 0.250), Sb at (0.000, 0.000, 0.094) and Te at (0.000, 0.000, 0.500).